The following is a DFT calculation (GGA-PBE) of an optimized crystal structure of CdNi6Mo.

The structure in CIF format:
```
data_CdNi6Mo
_space_group_name_H-M_alt 'P 1'
_space_group_IT_number 1
_cell_length_a 6.367
_cell_length_b 6.367
_cell_length_c 10.436
_cell_angle_alpha 90.00
_cell_angle_beta 90.00
_cell_angle_gamma 109.49
loop_
_space_group_symop_operation_xyz
'x,y,z'
loop_
_atom_site_label
_atom_site_fract_x
_atom_site_fract_y
_atom_site_fract_z
Cd1 0.000 0.000 0.249
Cd2 0.000 0.000 0.751
Cd3 0.246 0.754 0.500
Cd4 0.754 0.246 0.500
Ni1 0.000 0.000 0.000
Ni2 0.000 0.000 0.500
Ni3 0.129 0.384 0.120
Ni4 0.129 0.384 0.880
Ni5 0.138 0.382 0.369
Ni6 0.138 0.382 0.631
Ni7 0.255 0.745 0.240
Ni8 0.255 0.745 0.760
Ni9 0.382 0.138 0.369
Ni10 0.382 0.138 0.631
Ni11 0.384 0.129 0.120
Ni12 0.384 0.129 0.880
Ni13 0.500 0.500 0.000
Ni14 0.500 0.500 0.500
Ni15 0.616 0.871 0.120
Ni16 0.616 0.871 0.880
Ni17 0.618 0.862 0.369
Ni18 0.618 0.862 0.631
Ni19 0.745 0.255 0.240
Ni20 0.745 0.255 0.760
Ni21 0.862 0.618 0.369
Ni22 0.862 0.618 0.631
Ni23 0.871 0.616 0.120
Ni24 0.871 0.616 0.880
Mo1 0.252 0.748 0.000
Mo2 0.500 0.500 0.256
Mo3 0.500 0.500 0.744
Mo4 0.748 0.252 0.000
```

## Properties
ΔH_f (0 K)	-1	meV per atom
magnetization	0.0	μB/f.u.
DOS(E_F)	9.8	states/eV/cell
energy	-5.806	eV per atom

---

The following is a DFT calculation (GGA-PBE) of an optimized crystal structure of ScP2Pd3.

The structure in CIF format:
```
data_ScP2Pd3
_space_group_name_H-M_alt 'P 1'
_space_group_IT_number 1
_cell_length_a 8.317
_cell_length_b 8.317
_cell_length_c 9.970
_cell_angle_alpha 105.55
_cell_angle_beta 105.55
_cell_angle_gamma 25.74
loop_
_space_group_symop_operation_xyz
'x,y,z'
loop_
_atom_site_label
_atom_site_fract_x
_atom_site_fract_y
_atom_site_fract_z
Sc1 0.000 0.000 0.000
Sc2 0.138 0.138 0.698
Sc3 0.862 0.862 0.302
P1 0.206 0.206 0.140
P2 0.367 0.367 0.547
P3 0.461 0.461 0.187
P4 0.539 0.539 0.813
P5 0.633 0.633 0.453
P6 0.794 0.794 0.860
Pd1 0.042 0.042 0.323
Pd2 0.237 0.237 0.386
Pd3 0.320 0.320 0.041
Pd4 0.371 0.371 0.797
Pd5 0.500 0.500 0.500
Pd6 0.629 0.629 0.203
Pd7 0.680 0.680 0.959
Pd8 0.763 0.763 0.614
Pd9 0.958 0.958 0.677
```

## Properties
ΔH_f (0 K)	-754	meV per atom
magnetization	0.0	μB/f.u.
DOS(E_F)	6.8	states/eV/cell
energy	-6.209	eV per atom

---

The following is a DFT calculation (GGA-PBE) of an optimized crystal structure of Ti3Te4S2.

The structure in CIF format:
```
data_Ti3Te4S2
_space_group_name_H-M_alt 'P 1'
_space_group_IT_number 1
_cell_length_a 3.564
_cell_length_b 3.564
_cell_length_c 23.960
_cell_angle_alpha 90.00
_cell_angle_beta 90.00
_cell_angle_gamma 120.00
loop_
_space_group_symop_operation_xyz
'x,y,z'
loop_
_atom_site_label
_atom_site_fract_x
_atom_site_fract_y
_atom_site_fract_z
Ti1 0.000 0.000 0.000
Ti2 0.333 0.667 0.281
Ti3 0.333 0.667 0.719
Te1 0.000 0.000 0.204
Te2 0.000 0.000 0.359
Te3 0.000 0.000 0.641
Te4 0.000 0.000 0.796
S1 0.333 0.667 0.061
S2 0.333 0.667 0.939
```

## Properties
magnetization	0.2	μB/f.u.
DOS(E_F)	7.4	states/eV/cell
formation energy from raw total energies	-719	meV/atom
energy	-5.664	eV per atom

---

The following is a DFT calculation (GGA-PBE) of an optimized crystal structure of Ce5Sb.

The structure in CIF format:
```
data_Ce5Sb
_space_group_name_H-M_alt 'P 1'
_space_group_IT_number 1
_cell_length_a 7.697
_cell_length_b 7.697
_cell_length_c 4.685
_cell_angle_alpha 90.00
_cell_angle_beta 90.00
_cell_angle_gamma 145.11
loop_
_space_group_symop_operation_xyz
'x,y,z'
loop_
_atom_site_label
_atom_site_fract_x
_atom_site_fract_y
_atom_site_fract_z
Ce1 0.000 0.000 0.000
Ce2 0.167 0.833 0.500
Ce3 0.337 0.663 0.000
Ce4 0.663 0.337 0.000
Ce5 0.833 0.167 0.500
Sb1 0.500 0.500 0.500
```

## Properties
magnetization	1.2	μB/f.u.
DOS(E_F)	18.5	states/eV/cell
formation energy from raw total energies	-299	meV/atom
energy	-5.931	eV per atom

---

The following is a DFT calculation (GGA-PBE) of an optimized crystal structure of K4TlBr5.

The structure in CIF format:
```
data_K4TlBr5
_space_group_name_H-M_alt 'P 1'
_space_group_IT_number 1
_cell_length_a 12.548
_cell_length_b 12.548
_cell_length_c 12.548
_cell_angle_alpha 158.23
_cell_angle_beta 149.05
_cell_angle_gamma 38.16
loop_
_space_group_symop_operation_xyz
'x,y,z'
loop_
_atom_site_label
_atom_site_fract_x
_atom_site_fract_y
_atom_site_fract_z
K1 0.100 0.100 0.000
K2 0.299 0.299 0.000
K3 0.701 0.701 0.000
K4 0.900 0.900 0.000
Tl1 0.500 0.500 0.000
Br1 0.000 0.500 0.500
Br2 0.200 0.700 0.500
Br3 0.398 0.898 0.500
Br4 0.602 0.102 0.500
Br5 0.800 0.300 0.500
```

## Properties
magnetization	0.0	μB/f.u.
DOS(E_F)	0.0	states/eV/cell
formation energy from raw total energies	-1574	meV/atom
energy	-3.086	eV per atom

---

The following is a DFT calculation (GGA-PBE) of an optimized crystal structure of TbTe2O6.

The structure in CIF format:
```
data_TbTe2O6
_space_group_name_H-M_alt 'P 1'
_space_group_IT_number 1
_cell_length_a 7.055
_cell_length_b 7.055
_cell_length_c 7.781
_cell_angle_alpha 112.09
_cell_angle_beta 112.09
_cell_angle_gamma 71.86
loop_
_space_group_symop_operation_xyz
'x,y,z'
loop_
_atom_site_label
_atom_site_fract_x
_atom_site_fract_y
_atom_site_fract_z
Tb1 0.075 0.925 0.750
Tb2 0.925 0.075 0.250
Te1 0.279 0.333 0.734
Te2 0.333 0.279 0.234
Te3 0.667 0.721 0.766
Te4 0.721 0.667 0.266
O1 0.061 0.179 0.601
O2 0.117 0.599 0.730
O3 0.179 0.061 0.101
O4 0.278 0.381 0.010
O5 0.381 0.278 0.510
O6 0.401 0.883 0.770
O7 0.599 0.117 0.230
O8 0.619 0.722 0.490
O9 0.722 0.619 0.990
O10 0.821 0.939 0.899
O11 0.883 0.401 0.270
O12 0.939 0.821 0.399
```

## Properties
magnetization	0.0	μB/f.u.
DOS(E_F)	5.0	states/eV/cell
formation energy from raw total energies	-1635	meV/atom
energy	-6.153	eV per atom

---

The following is a DFT calculation (GGA-PBE) of an optimized crystal structure of LuGaSe2.

The structure in CIF format:
```
data_LuGaSe2
_space_group_name_H-M_alt 'P 1'
_space_group_IT_number 1
_cell_length_a 7.647
_cell_length_b 7.647
_cell_length_c 7.647
_cell_angle_alpha 30.70
_cell_angle_beta 30.70
_cell_angle_gamma 30.70
loop_
_space_group_symop_operation_xyz
'x,y,z'
loop_
_atom_site_label
_atom_site_fract_x
_atom_site_fract_y
_atom_site_fract_z
Lu1 0.000 0.000 0.000
Ga1 0.500 0.500 0.500
Se1 0.260 0.260 0.260
Se2 0.740 0.740 0.740
```

## Properties
magnetization	0.0	μB/f.u.
formation energy from raw total energies	-1239	meV/atom
energy	-4.868	eV per atom

---

The following is a DFT calculation (GGA-PBE) of an optimized crystal structure of Nd3ZrO6.

The structure in CIF format:
```
data_Nd3ZrO6
_space_group_name_H-M_alt 'P 1'
_space_group_IT_number 1
_cell_length_a 7.440
_cell_length_b 7.440
_cell_length_c 5.758
_cell_angle_alpha 90.00
_cell_angle_beta 90.00
_cell_angle_gamma 100.22
loop_
_space_group_symop_operation_xyz
'x,y,z'
loop_
_atom_site_label
_atom_site_fract_x
_atom_site_fract_y
_atom_site_fract_z
Nd1 0.103 0.897 0.500
Nd2 0.194 0.406 0.452
Nd3 0.406 0.194 0.952
Nd4 0.594 0.806 0.452
Nd5 0.806 0.594 0.952
Nd6 0.897 0.103 0.000
Zr1 0.341 0.659 0.936
Zr2 0.659 0.341 0.436
O1 0.099 0.600 0.760
O2 0.140 0.168 0.724
O3 0.168 0.140 0.224
O4 0.281 0.719 0.271
O5 0.400 0.901 0.760
O6 0.485 0.515 0.671
O7 0.515 0.485 0.171
O8 0.600 0.099 0.260
O9 0.719 0.281 0.771
O10 0.832 0.860 0.724
O11 0.860 0.832 0.224
O12 0.901 0.400 0.260
```

## Properties
magnetization	0.0	μB/f.u.
DOS(E_F)	4.0	states/eV/cell
formation energy from raw total energies	-3200	meV/atom
energy	-8.460	eV per atom

---

What is the energy in the second record? -6.209 eV per atom